# 1
Material: AgOsPt2
Method: DFT, PBE
State: optimized geometry

Unit cell a=2.746 b=2.746 c=9.764 alpha=90.00 beta=90.00 gamma=119.84
Element x y z (fractional)
Os (0.500, 0.500, 0.757)
Ag (0.000, 0.000, 0.501)
Pt (0.000, 0.000, 0.995)
Pt (0.500, 0.500, 0.247)

Summary:
Offset from the most stable computed form in meV per atom: 241
Space group: Cmm2

# 2
Material: AgOsPt2
Method: DFT, PBE
State: optimized geometry

Unit cell a=3.312 b=3.312 c=5.803 alpha=90.00 beta=90.00 gamma=90.00
Element x y z (fractional)
Os (0.500, 0.500, 0.770)
Ag (0.000, 0.000, 0.498)
Pt (0.000, 0.000, 0.988)
Pt (0.500, 0.500, 0.243)

Summary:
Offset from the most stable computed form in meV per atom: 367
Space group: P4mm

# 3
Material: AgOsPt2
Method: DFT, PBE
State: optimized geometry

Unit cell a=9.477 b=9.477 c=9.477 alpha=16.87 beta=16.87 gamma=16.87
Element x y z (fractional)
Os (0.750, 0.750, 0.750)
Ag (0.250, 0.250, 0.250)
Pt (0.004, 0.004, 0.004)
Pt (0.496, 0.496, 0.496)

Summary:
Offset from the most stable computed form in meV per atom: 0
Space group: R-3m

# 4
Material: AgOsPt2
Method: DFT, PBE
State: optimized geometry

Unit cell a=2.753 b=2.753 c=9.715 alpha=90.00 beta=90.00 gamma=119.86
Element x y z (fractional)
Os (0.500, 0.500, 0.750)
Ag (0.500, 0.500, 0.250)
Pt (0.000, 0.000, 0.991)
Pt (0.000, 0.000, 0.509)

Summary:
Offset from the most stable computed form in meV per atom: 186
Space group: Cmmm

# 5
Material: AgOsPt2
Method: DFT, PBE
State: optimized geometry

Unit cell a=4.493 b=4.493 c=4.493 alpha=60.00 beta=60.00 gamma=60.00
Element x y z (fractional)
Os (0.500, 0.500, 0.500)
Ag (0.000, 0.000, 0.000)
Pt (0.250, 0.250, 0.250)
Pt (0.750, 0.750, 0.750)

Summary:
Offset from the most stable computed form in meV per atom: 418
Space group: Fm-3m

# 6
Material: AgOsPt2
Method: DFT, PBE
State: optimized geometry

Unit cell a=5.581 b=5.581 c=5.581 alpha=151.62 beta=128.33 gamma=60.00
Element x y z (fractional)
Os (0.750, 0.250, 0.500)
Ag (0.250, 0.750, 0.500)
Pt (0.987, 0.987, 0.000)
Pt (0.513, 0.513, 0.000)

Summary:
Offset from the most stable computed form in meV per atom: 343
Space group: Immm

# 7
Material: AgOsPt2
Method: DFT, PBE
State: optimized geometry

Unit cell a=6.247 b=4.922 c=2.739 alpha=90.03 beta=63.97 gamma=120.74
Element x y z (fractional)
Os (0.500, 0.500, 0.000)
Pt (0.000, 0.000, 0.000)
Pt (0.500, 0.000, 0.500)
Ag (0.000, 0.500, 0.500)

Summary:
Offset from the most stable computed form in meV per atom: 152
Space group: Cmmm

# 8
Material: AgOsPt2
Method: DFT, PBE
State: optimized geometry

Unit cell a=9.489 b=9.489 c=9.489 alpha=16.84 beta=16.84 gamma=16.84
Element x y z (fractional)
Os (0.747, 0.747, 0.747)
Ag (0.499, 0.499, 0.499)
Pt (0.002, 0.002, 0.002)
Pt (0.252, 0.252, 0.252)

Summary:
Offset from the most stable computed form in meV per atom: 83
Space group: R3m

# 9
Material: AgOsPt2
Method: DFT, PBE
State: optimized geometry

Unit cell a=2.778 b=2.778 c=8.183 alpha=90.00 beta=90.00 gamma=90.00
Element x y z (fractional)
Os (0.500, 0.500, 0.767)
Ag (0.000, 0.000, 0.504)
Pt (0.000, 0.000, 0.989)
Pt (0.500, 0.500, 0.240)

Summary:
Offset from the most stable computed form in meV per atom: 165
Space group: P4mm

# 10
Material: Ag4OsPt2
Method: DFT, PBE
State: optimized geometry

Unit cell a=4.973 b=4.973 c=7.526 alpha=70.70 beta=70.70 gamma=90.00
Element x y z (fractional)
Os (0.000, 0.000, 0.000)
Ag (0.801, 0.801, 0.399)
Ag (0.199, 0.199, 0.601)
Ag (0.000, 0.500, 0.000)
Ag (0.500, 0.000, 0.000)
Pt (0.601, 0.601, 0.798)
Pt (0.399, 0.399, 0.202)

Summary:
Space group: I4/mmm

# 11
Material: AgOsPt
Method: DFT, PBE
State: optimized geometry

Unit cell a=4.581 b=4.581 c=8.624 alpha=59.36 beta=59.36 gamma=48.42
Element x y z (fractional)
Os (0.694, 0.694, 0.052)
Os (0.059, 0.059, 0.256)
Pt (0.704, 0.704, 0.360)
Pt (0.049, 0.049, 0.948)
Ag (0.289, 0.289, 0.552)
Ag (0.465, 0.465, 0.755)

Summary:
Offset from the most stable computed form in meV per atom: 253
Space group: C2/m

# 12
Material: Ag4OsPt
Method: DFT, PBE
State: optimized geometry

Unit cell a=5.289 b=5.289 c=5.289 alpha=60.00 beta=60.00 gamma=60.00
Element x y z (fractional)
Ag (0.625, 0.625, 0.125)
Ag (0.625, 0.125, 0.625)
Ag (0.625, 0.625, 0.625)
Ag (0.125, 0.625, 0.625)
Os (0.250, 0.250, 0.250)
Pt (0.000, 0.000, 0.000)

Summary:
Space group: F-43m

# 13
Material: AgOsPt4
Method: DFT, PBE
State: optimized geometry

Unit cell a=5.241 b=5.241 c=5.241 alpha=60.00 beta=60.00 gamma=60.00
Element x y z (fractional)
Ag (0.750, 0.750, 0.750)
Os (0.000, 0.000, 0.000)
Pt (0.875, 0.375, 0.375)
Pt (0.375, 0.375, 0.875)
Pt (0.375, 0.875, 0.375)
Pt (0.375, 0.375, 0.375)

Summary:
Space group: F-43m

# 14
Material: AgOsPt
Method: DFT, PBE
State: optimized geometry

Unit cell a=4.292 b=4.292 c=4.292 alpha=60.00 beta=60.00 gamma=60.00
Element x y z (fractional)
Os (0.500, 0.500, 0.500)
Ag (0.000, 0.000, 0.000)
Pt (0.750, 0.750, 0.750)

Summary:
Offset from the most stable computed form in meV per atom: 633
Space group: F-43m

# 15
Material: AgOsPt2
Method: DFT, PBE
State: optimized geometry

Unit cell a=4.875 b=4.875 c=4.937 alpha=81.23 beta=81.23 gamma=32.77
Element x y z (fractional)
Os (0.743, 0.743, 0.780)
Ag (0.498, 0.498, 0.488)
Pt (0.004, 0.004, 0.976)
Pt (0.255, 0.255, 0.256)

Summary:
Offset from the most stable computed form in meV per atom: 149
Space group: Cm

Number 1: DFT total energy -6.216 eV/atom, ΔE_f 31.33 kJ/mol of atoms, V 15.96 A^3/atom. Number 2: DFT total energy -6.090 eV/atom, ΔE_f 43.51 kJ/mol of atoms, V 15.91 A^3/atom. Number 3: DFT total energy -6.457 eV/atom, ΔE_f 8.10 kJ/mol of atoms, V 15.62 A^3/atom. Number 4: DFT total energy -6.270 eV/atom, ΔE_f 26.08 kJ/mol of atoms, V 15.97 A^3/atom. Number 5: DFT total energy -6.039 eV/atom, ΔE_f 48.41 kJ/mol of atoms, V 16.03 A^3/atom. Number 6: DFT total energy -6.114 eV/atom, ΔE_f 41.21 kJ/mol of atoms, V 16.09 A^3/atom. Number 7: DFT total energy -6.305 eV/atom, ΔE_f 22.77 kJ/mol of atoms, V 15.56 A^3/atom. Number 8: DFT total energy -6.373 eV/atom, ΔE_f 16.15 kJ/mol of atoms, V 15.63 A^3/atom. Number 9: DFT total energy -6.291 eV/atom, ΔE_f 24.06 kJ/mol of atoms, V 15.79 A^3/atom. Number 10: DFT total energy -3.636 eV/atom, ΔE_f 127.66 kJ/mol of atoms, V 23.51 A^3/atom. Number 11: DFT total energy -6.151 eV/atom, ΔE_f 53.71 kJ/mol of atoms, V 18.71 A^3/atom. Number 12: DFT total energy -3.962 eV/atom, ΔE_f 78.81 kJ/mol of atoms, V 17.44 A^3/atom. Number 13: DFT total energy -5.869 eV/atom, ΔE_f 48.71 kJ/mol of atoms, V 16.96 A^3/atom. Number 14: DFT total energy -5.771 eV/atom, ΔE_f 90.35 kJ/mol of atoms, V 18.64 A^3/atom. Number 15: DFT total energy -6.308 eV/atom, ΔE_f 22.49 kJ/mol of atoms, V 15.68 A^3/atom.